Entry 1:
The following is a GGA-PBE calculation of a relaxed GaTcPd3 crystal, from Alexandria.

Energy ... -23.72 eV per formula unit
Excess energy over the best structure of this formula in the dataset ... 336 meV per atom
Formation energy ... 1050 meV/atom
DOS(E_F) ... 5.3 states/eV/f.u.

```
data_GaTcPd3
_symmetry_space_group_name_H-M 'P m -3 m'
_symmetry_Int_Tables_number 221
_symmetry_space_group_name_Hall '-P 4 2 3'
_cell_length_a 4.8076
_cell_length_b 4.8076
_cell_length_c 4.8076
_cell_angle_alpha 90.00
_cell_angle_beta 90.00
_cell_angle_gamma 90.00
loop_
_atom_site_label
_atom_site_type_symbol
_atom_site_fract_x
_atom_site_fract_y
_atom_site_fract_z
Ga1 Ga 0.0000 0.0000 0.0000
Tc1 Tc 0.5000 0.5000 0.5000
Pd1 Pd 0.0000 0.5000 0.5000
```

=====

Entry 2:
The following is a GGA-PBE calculation of a relaxed Ga2Tc2Pd crystal, from Alexandria.

Energy ... -31.97 eV per formula unit
Excess energy over the best structure of this formula in the dataset ... 0 meV per atom
Formation energy ... 3 meV/atom
DOS(E_F) ... 5.8 states/eV/f.u.

```
data_Ga2Tc2Pd
_symmetry_space_group_name_H-M 'P 4/m b m'
_symmetry_Int_Tables_number 127
_symmetry_space_group_name_Hall '-P 4 2ab'
_cell_length_a 6.6234
_cell_length_b 6.6234
_cell_length_c 3.4134
_cell_angle_alpha 90.00
_cell_angle_beta 90.00
_cell_angle_gamma 90.00
loop_
_atom_site_label
_atom_site_type_symbol
_atom_site_fract_x
_atom_site_fract_y
_atom_site_fract_z
Ga1 Ga 0.1354 0.3646 0.0000
Tc1 Tc 0.1660 0.6660 0.5000
Pd1 Pd 0.0000 0.0000 0.0000
```

=====

Entry 3:
The following is a GGA-PBE calculation of a relaxed GaTc3Pd crystal, from Alexandria.

Energy ... -31.60 eV per formula unit
Excess energy over the best structure of this formula in the dataset ... 0 meV per atom
Formation energy ... 1544 meV/atom
DOS(E_F) ... 8.9 states/eV/f.u.

```
data_GaTc3Pd
_symmetry_space_group_name_H-M 'P m -3 m'
_symmetry_Int_Tables_number 221
_symmetry_space_group_name_Hall '-P 4 2 3'
_cell_length_a 4.4883
_cell_length_b 4.4883
_cell_length_c 4.4883
_cell_angle_alpha 90.00
_cell_angle_beta 90.00
_cell_angle_gamma 90.00
loop_
_atom_site_label
_atom_site_type_symbol
_atom_site_fract_x
_atom_site_fract_y
_atom_site_fract_z
Ga1 Ga 0.0000 0.0000 0.0000
Tc1 Tc 0.0000 0.0000 0.5000
Pd1 Pd 0.5000 0.5000 0.5000
```

=====

no.,calculated volume (Å³/atom)
1,22.2
2,15.0
3,18.1